# 1
# SmY2ScTl4

SmY2ScTl4 after structural relaxation (PBE, Alexandria via LeMat-Bulk).

abc: 9.277 9.277 9.277
angles: 33.36 33.36 33.36
Fractional positions:
1 Sm 0.000 0.000 0.000
2 Y 0.248 0.248 0.248
3 Y 0.752 0.752 0.752
4 Sc 0.500 0.500 0.500
5 Tl 0.127 0.127 0.127
6 Tl 0.378 0.378 0.378
7 Tl 0.622 0.622 0.622
8 Tl 0.873 0.873 0.873

- formation enthalpy at 0 K (meV per atom) = -333

# 2
# AgP2Cl

AgP2Cl after structural relaxation (PBE, Alexandria via LeMat-Bulk).

abc: 2.912 4.815 4.963
angles: 90.00 90.00 90.00
Fractional positions:
1 Ag 0.000 0.000 0.000
2 P 0.000 0.500 0.500
3 P 0.500 0.500 0.000
4 Cl 0.500 0.000 0.500

- formation energy without anion corrections (kJ/mol of formula units) = 228.4
- offset from the most stable computed form (eV per atom) = 0.709

# 3
# Pu2ScIn

Pu2ScIn after structural relaxation (PBE, Alexandria via LeMat-Bulk).

abc: 4.419 4.419 5.050
angles: 90.00 90.00 90.00
Fractional positions:
1 Pu 0.000 0.500 0.000
2 Pu 0.500 0.000 0.000
3 Sc 0.000 0.000 0.500
4 In 0.500 0.500 0.500

- formation enthalpy at 0 K (meV per atom) = -125

# 4
# Pr8InGa6

Pr8InGa6 after structural relaxation (PBE, Alexandria via LeMat-Bulk).

abc: 8.157 8.157 8.157
angles: 67.32 67.32 67.32
Fractional positions:
1 Pr 0.109 0.682 0.380
2 Pr 0.167 0.167 0.167
3 Pr 0.318 0.620 0.891
4 Pr 0.380 0.109 0.682
5 Pr 0.620 0.891 0.318
6 Pr 0.682 0.380 0.109
7 Pr 0.833 0.833 0.833
8 Pr 0.891 0.318 0.620
9 In 0.500 0.500 0.500
10 Ga 0.097 0.450 0.790
11 Ga 0.210 0.903 0.550
12 Ga 0.450 0.790 0.097
13 Ga 0.550 0.210 0.903
14 Ga 0.790 0.097 0.450
15 Ga 0.903 0.550 0.210

- formation enthalpy at 0 K (meV per atom) = -355

# 5
# GaCu3Pd

GaCu3Pd after structural relaxation (PBE, Alexandria via LeMat-Bulk).

abc: 4.693 4.693 4.693
angles: 90.00 90.00 90.00
Fractional positions:
1 Ga 0.000 0.000 0.000
2 Cu 0.000 0.500 0.500
3 Cu 0.500 0.000 0.500
4 Cu 0.500 0.500 0.000
5 Pd 0.500 0.500 0.500

- formation enthalpy at 0 K (meV per atom) = 770
- offset from the most stable computed form (eV per atom) = 0.834

# 6
# LiTm4Ge4

LiTm4Ge4 after structural relaxation (PBE, Alexandria via LeMat-Bulk).

abc: 7.046 14.513 7.623
angles: 90.00 90.00 90.00
Fractional positions:
1 Li 0.161 0.250 0.024
2 Li 0.339 0.750 0.524
3 Li 0.661 0.250 0.476
4 Li 0.839 0.750 0.976
5 Tm 0.013 0.597 0.687
6 Tm 0.013 0.903 0.687
7 Tm 0.171 0.628 0.175
8 Tm 0.171 0.872 0.175
9 Tm 0.329 0.128 0.675
10 Tm 0.329 0.372 0.675
11 Tm 0.487 0.097 0.187
12 Tm 0.487 0.403 0.187
13 Tm 0.513 0.597 0.813
14 Tm 0.513 0.903 0.813
15 Tm 0.671 0.628 0.325
16 Tm 0.671 0.872 0.325
17 Tm 0.829 0.128 0.825
18 Tm 0.829 0.372 0.825
19 Tm 0.987 0.097 0.313
20 Tm 0.987 0.403 0.313
21 Ge 0.017 0.250 0.586
22 Ge 0.169 0.037 0.966
23 Ge 0.169 0.463 0.966
24 Ge 0.214 0.750 0.861
25 Ge 0.286 0.250 0.361
26 Ge 0.331 0.537 0.466
27 Ge 0.331 0.963 0.466
28 Ge 0.483 0.750 0.086
29 Ge 0.517 0.250 0.914
30 Ge 0.669 0.037 0.534
31 Ge 0.669 0.463 0.534
32 Ge 0.714 0.750 0.639
33 Ge 0.786 0.250 0.139
34 Ge 0.831 0.537 0.034
35 Ge 0.831 0.963 0.034
36 Ge 0.983 0.750 0.414

- formation enthalpy at 0 K (meV per atom) = -812

# 7
# Mn2SiPd8

Mn2SiPd8 after structural relaxation (PBE, Alexandria via LeMat-Bulk).

abc: 7.575 7.575 5.705
angles: 111.83 111.83 34.12
Fractional positions:
1 Mn 0.189 0.189 0.188
2 Mn 0.811 0.811 0.812
3 Si 0.500 0.500 0.500
4 Pd 0.001 0.001 0.249
5 Pd 0.184 0.184 0.687
6 Pd 0.363 0.363 0.621
7 Pd 0.366 0.366 0.103
8 Pd 0.634 0.634 0.897
9 Pd 0.637 0.637 0.379
10 Pd 0.816 0.816 0.313
11 Pd 0.999 0.999 0.751

- formation energy without anion corrections (kJ/mol of formula units) = -331.9
- offset from the most stable computed form (eV per atom) = 0.000

# 8
# Pr4GeAs2Br

Pr4GeAs2Br after structural relaxation (PBE, Alexandria via LeMat-Bulk).

abc: 7.476 4.319 7.492
angles: 90.00 109.04 90.00
Fractional positions:
1 Pr 0.234 0.000 0.231
2 Pr 0.245 0.500 0.757
3 Pr 0.755 0.500 0.243
4 Pr 0.766 0.000 0.769
5 Ge 0.500 0.000 0.000
6 As 0.000 0.000 0.500
7 As 0.000 0.500 0.000
8 Br 0.500 0.500 0.500

- formation energy without anion corrections (kJ/mol of formula units) = -1036.3

# 9
# BaY2Lu

BaY2Lu after structural relaxation (PBE, Alexandria via LeMat-Bulk).

abc: 4.016 4.016 9.444
angles: 90.00 90.00 90.00
Fractional positions:
1 Ba 0.000 0.000 0.000
2 Y 0.500 0.500 0.305
3 Y 0.500 0.500 0.695
4 Lu 0.000 0.000 0.500

- formation enthalpy at 0 K (meV per atom) = 173
- offset from the most stable computed form (eV per atom) = 0.000

# 10
# ZrZnNi

ZrZnNi after structural relaxation (PBE, Alexandria via LeMat-Bulk).

abc: 4.286 4.286 2.983
angles: 90.00 90.00 120.00
Fractional positions:
1 Zr 0.000 0.000 0.000
2 Zn 0.333 0.667 0.500
3 Ni 0.667 0.333 0.500

- formation enthalpy at 0 K (meV per atom) = -324

# 11
# LaTb9Dy2

LaTb9Dy2 after structural relaxation (PBE, Alexandria via LeMat-Bulk).

abc: 11.318 11.318 3.530
angles: 90.00 90.00 120.00
Fractional positions:
1 La 0.000 0.000 0.000
2 Tb 0.000 0.500 0.000
3 Tb 0.179 0.357 0.500
4 Tb 0.179 0.821 0.500
5 Tb 0.357 0.179 0.500
6 Tb 0.500 0.000 0.000
7 Tb 0.500 0.500 0.000
8 Tb 0.643 0.821 0.500
9 Tb 0.821 0.179 0.500
10 Tb 0.821 0.643 0.500
11 Dy 0.333 0.667 0.000
12 Dy 0.667 0.333 0.000

- formation enthalpy at 0 K (meV per atom) = 34
- offset from the most stable computed form (eV per atom) = 0.011

# 12
# BeMoPt

BeMoPt after structural relaxation (PBE, Alexandria via LeMat-Bulk).

abc: 3.578 3.578 6.406
angles: 90.00 90.00 90.00
Fractional positions:
1 Be 0.250 0.250 0.198
2 Be 0.750 0.750 0.802
3 Mo 0.250 0.750 0.500
4 Mo 0.750 0.250 0.500
5 Pt 0.250 0.250 0.847
6 Pt 0.750 0.750 0.153

- formation enthalpy at 0 K (meV per atom) = -239
- offset from the most stable computed form (eV per atom) = 0.167

# 13
# PrTl2In

PrTl2In after structural relaxation (PBE, Alexandria via LeMat-Bulk).

abc: 3.955 3.955 7.370
angles: 90.00 90.00 90.00
Fractional positions:
1 Pr 0.000 0.000 0.000
2 Tl 0.500 0.500 0.269
3 Tl 0.500 0.500 0.731
4 In 0.000 0.000 0.500

- formation enthalpy at 0 K (meV per atom) = -186

# 14
# SmPb2Se3

SmPb2Se3 after structural relaxation (PBE, Alexandria via LeMat-Bulk).

abc: 8.204 8.204 4.087
angles: 90.00 90.00 136.59
Fractional positions:
1 Sm 0.000 0.000 0.000
2 Pb 0.345 0.655 0.500
3 Pb 0.655 0.345 0.500
4 Se 0.136 0.864 0.500
5 Se 0.500 0.500 0.000
6 Se 0.864 0.136 0.500

- formation energy without anion corrections (kJ/mol of formula units) = -547.9

# 15
# H2Pd2Ru

H2Pd2Ru after structural relaxation (PBE, Alexandria via LeMat-Bulk).

abc: 6.195 6.195 2.814
angles: 90.00 90.00 90.00
Fractional positions:
1 H 0.217 0.283 0.000
2 H 0.283 0.783 0.000
3 H 0.717 0.217 0.000
4 H 0.783 0.717 0.000
5 Pd 0.158 0.658 0.500
6 Pd 0.342 0.158 0.500
7 Pd 0.658 0.842 0.500
8 Pd 0.842 0.342 0.500
9 Ru 0.000 0.000 0.000
10 Ru 0.500 0.500 0.000

# 16
# LiGa2Au4

LiGa2Au4 after structural relaxation (PBE, Alexandria via LeMat-Bulk).

abc: 6.213 6.219 7.646
angles: 108.05 107.67 104.20
Fractional positions:
1 Li 0.000 0.000 0.000
2 Li 0.249 0.749 0.499
3 Ga 0.181 0.266 0.806
4 Ga 0.624 0.209 0.695
5 Ga 0.735 0.818 0.194
6 Ga 0.790 0.372 0.303
7 Au 0.012 0.578 0.712
8 Au 0.140 0.219 0.427
9 Au 0.385 0.449 0.214
10 Au 0.420 0.985 0.286
11 Au 0.455 0.036 0.926
12 Au 0.551 0.616 0.786
13 Au 0.781 0.860 0.573
14 Au 0.964 0.540 0.072

- formation enthalpy at 0 K (meV per atom) = -284
- offset from the most stable computed form (eV per atom) = 0.014

# 17
# Co3BiAs

Co3BiAs after structural relaxation (PBE, Alexandria via LeMat-Bulk).

abc: 4.744 4.744 4.744
angles: 90.00 90.00 90.00
Fractional positions:
1 Co 0.000 0.000 0.500
2 Co 0.000 0.500 0.000
3 Co 0.500 0.000 0.000
4 Bi 0.000 0.000 0.000
5 As 0.500 0.500 0.500

- formation enthalpy at 0 K (meV per atom) = 1569
- offset from the most stable computed form (eV per atom) = 1.083

# 18
# CaAg11

CaAg11 after structural relaxation (PBE, Alexandria via LeMat-Bulk).

abc: 8.851 8.851 8.851
angles: 100.31 100.31 129.94
Fractional positions:
1 Ca 0.375 0.625 0.750
2 Ca 0.625 0.375 0.250
3 Ag 0.000 0.000 0.000
4 Ag 0.000 0.000 0.500
5 Ag 0.000 0.500 0.000
6 Ag 0.125 0.875 0.250
7 Ag 0.132 0.556 0.334
8 Ag 0.132 0.798 0.577
9 Ag 0.202 0.278 0.334
10 Ag 0.202 0.868 0.923
11 Ag 0.278 0.202 0.834
12 Ag 0.278 0.444 0.077
13 Ag 0.444 0.278 0.577
14 Ag 0.444 0.868 0.166
15 Ag 0.500 0.000 0.500
16 Ag 0.556 0.132 0.834
17 Ag 0.556 0.722 0.423
18 Ag 0.722 0.556 0.923
19 Ag 0.722 0.798 0.166
20 Ag 0.798 0.132 0.077
21 Ag 0.798 0.722 0.666
22 Ag 0.868 0.202 0.423
23 Ag 0.868 0.444 0.666
24 Ag 0.875 0.125 0.750

- formation enthalpy at 0 K (meV per atom) = -27

# 19
# TaSi2Te

TaSi2Te after structural relaxation (PBE, Alexandria via LeMat-Bulk).

abc: 4.298 5.236 5.236
angles: 39.99 90.00 90.00
Fractional positions:
1 Ta 0.000 0.000 0.000
2 Si 0.000 0.300 0.300
3 Si 0.500 0.856 0.856
4 Te 0.500 0.597 0.597

- formation energy without anion corrections (kJ/mol of formula units) = 46.5

# 20
# LiCa2Ga2

LiCa2Ga2 after structural relaxation (PBE, Alexandria via LeMat-Bulk).

abc: 5.741 5.741 5.741
angles: 117.86 117.86 93.74
Fractional positions:
1 Li 0.000 0.000 0.000
2 Ca 0.250 0.750 0.500
3 Ca 0.750 0.250 0.500
4 Ga 0.346 0.346 0.000
5 Ga 0.654 0.654 0.000

- formation enthalpy at 0 K (meV per atom) = -180
- offset from the most stable computed form (eV per atom) = 0.189

# 21
# RbAg2Hg

RbAg2Hg after structural relaxation (PBE, Alexandria via LeMat-Bulk).

abc: 6.801 6.801 6.801
angles: 42.67 42.67 42.67
Fractional positions:
1 Rb 0.000 0.000 0.000
2 Ag 0.182 0.182 0.182
3 Ag 0.818 0.818 0.818
4 Hg 0.500 0.500 0.500

- formation enthalpy at 0 K (meV per atom) = -30

# 22
# Y12ErCo6

Y12ErCo6 after structural relaxation (PBE, Alexandria via LeMat-Bulk).

abc: 8.497 8.497 8.497
angles: 109.47 109.47 109.47
Fractional positions:
1 Y 0.115 0.806 0.308
2 Y 0.194 0.308 0.502
3 Y 0.194 0.692 0.885
4 Y 0.308 0.115 0.806
5 Y 0.308 0.502 0.194
6 Y 0.498 0.806 0.692
7 Y 0.502 0.194 0.308
8 Y 0.692 0.498 0.806
9 Y 0.692 0.885 0.194
10 Y 0.806 0.308 0.115
11 Y 0.806 0.692 0.498
12 Y 0.885 0.194 0.692
13 Er 0.000 0.000 0.000
14 Co 0.112 0.612 0.500
15 Co 0.388 0.500 0.888
16 Co 0.500 0.112 0.612
17 Co 0.500 0.888 0.388
18 Co 0.612 0.500 0.112
19 Co 0.888 0.388 0.500

- formation enthalpy at 0 K (meV per atom) = -121

# 23
# Pm4ErTm8

Pm4ErTm8 after structural relaxation (PBE, Alexandria via LeMat-Bulk).

abc: 9.828 9.828 9.828
angles: 43.96 43.96 43.96
Fractional positions:
1 Pm 0.000 0.000 0.000
2 Pm 0.000 0.500 0.500
3 Pm 0.500 0.000 0.500
4 Pm 0.500 0.500 0.000
5 Er 0.500 0.500 0.500
6 Tm 0.188 0.749 0.749
7 Tm 0.217 0.217 0.217
8 Tm 0.251 0.251 0.812
9 Tm 0.251 0.812 0.251
10 Tm 0.749 0.188 0.749
11 Tm 0.749 0.749 0.188
12 Tm 0.783 0.783 0.783
13 Tm 0.812 0.251 0.251

- formation enthalpy at 0 K (meV per atom) = 225

| no. | raw total energy (eV/atom) |
| --- | --- |
| 1 | -4.514 |
| 2 | -3.288 |
| 3 | -9.559 |
| 4 | -4.297 |
| 5 | -3.332 |
| 6 | -5.064 |
| 7 | -6.249 |
| 8 | -5.681 |
| 9 | -4.670 |
| 10 | -5.525 |
| 11 | -4.616 |
| 12 | -7.105 |
| 13 | -3.249 |
| 14 | -4.711 |
| 15 | -4.961 |
| 16 | -3.295 |
| 17 | -4.400 |
| 18 | -2.807 |
| 19 | -6.340 |
| 20 | -2.574 |
| 21 | -1.773 |
| 22 | -6.688 |
| 23 | -4.340 |